(1)
Here is crystalline TaNb3Cd at its relaxed geometry from Alexandria via LeMat-Bulk. Energies are from PBEsol.

- Raw total energy: -7.072 eV/atom
- Crystal system: cubic
- Space-group type: Pm-3m
- Energy of formation from the pure elements: 10.9 eV/f.u.

abc: 4.8643 4.8643 4.8643
angles: 90.00 90.00 90.00
Fractional coordinates of all 5 atoms:
Ta1 0.0000 0.0000 0.0000
Nb1 0.0000 0.5000 0.5000
Nb2 0.5000 0.0000 0.5000
Nb3 0.5000 0.5000 0.0000
Cd1 0.5000 0.5000 0.5000

=====

(2)
Here is crystalline NbCdTc3 at its relaxed geometry from Alexandria via LeMat-Bulk. Energies are from PBEsol.

- Raw total energy: -6.576 eV/atom
- Crystal system: cubic
- Space-group type: Pm-3m
- Energy of formation from the pure elements: 12.9 eV/f.u.

abc: 4.6541 4.6541 4.6541
angles: 90.00 90.00 90.00
Fractional coordinates of all 5 atoms:
Nb1 0.0000 0.0000 0.0000
Cd1 0.5000 0.5000 0.5000
Tc1 0.0000 0.5000 0.5000
Tc2 0.5000 0.0000 0.5000
Tc3 0.5000 0.5000 0.0000

=====

(3)
Here is crystalline NbCd3Tc at its relaxed geometry from Alexandria via LeMat-Bulk. Energies are from PBEsol.

- Raw total energy: -3.592 eV/atom
- Crystal system: cubic
- Space-group type: Pm-3m
- Energy of formation from the pure elements: 7.7 eV/f.u.

abc: 5.0097 5.0097 5.0097
angles: 90.00 90.00 90.00
Fractional coordinates of all 5 atoms:
Nb1 0.0000 0.0000 0.0000
Cd1 0.0000 0.5000 0.5000
Cd2 0.5000 0.0000 0.5000
Cd3 0.5000 0.5000 0.0000
Tc1 0.5000 0.5000 0.5000

=====

(4)
Here is crystalline Nb3CdTe at its relaxed geometry from Alexandria via LeMat-Bulk. Energies are from PBEsol.

- Raw total energy: -5.668 eV/atom
- Crystal system: cubic
- Space-group type: Pm-3m

abc: 4.9665 4.9665 4.9665
angles: 90.00 90.00 90.00
Fractional coordinates of all 5 atoms:
Nb1 0.0000 0.0000 0.5000
Nb2 0.0000 0.5000 0.0000
Nb3 0.5000 0.0000 0.0000
Cd1 0.0000 0.0000 0.0000
Te1 0.5000 0.5000 0.5000

=====

> raw total energy of number 1 (TaNb3Cd)?

-7.072 eV/atom